Entry 1:
DFT (GGA-PBE) results for Ce2CdAu4 after structural relaxation.

Unit cell a=4.755 b=4.755 c=9.441 alpha=75.41 beta=75.41 gamma=60.00
Fractional coordinates of all 7 atoms:
Au 0.864 0.864 0.409
Au 0.136 0.136 0.591
Au 0.634 0.634 0.097
Au 0.366 0.366 0.903
Ce 0.751 0.751 0.747
Ce 0.249 0.249 0.253
Cd 0.000 0.000 0.000

Results
space group: R-3m, No. 166
size of the total moment: 2.02 μB/cell
E: -29.3 eV/cell

---

Entry 2:
DFT (GGA-PBE) results for Li2ZnP after structural relaxation.

Unit cell a=3.734 b=3.734 c=3.943 alpha=90.00 beta=90.00 gamma=90.00
Fractional coordinates of all 4 atoms:
Li 0.000 0.000 0.000
Li 0.500 0.500 0.000
P 0.500 0.000 0.500
Zn 0.000 0.500 0.500

Results
space group: P4/mmm, No. 123
E above lowest polymorph: 0.025 eV/atom
size of the total moment: 0.00 μB/cell
E: -12.0 eV/cell

---

Energy of formation
In order: -3.4 -1.5
Unit: eV/f.u.